(1)
The following is a PBE calculation of a geometry-optimized KSb2O3 structure, from Alexandria via LeMat-Bulk.

```
data_KSb2O3
_chemical_formula_sum 'K2 Sb4 O6'
_cell_length_a 4.4372
_cell_length_b 13.7098
_cell_length_c 3.3513
_cell_angle_alpha 90.00
_cell_angle_beta 90.00
_cell_angle_gamma 90.00
_space_group_name_H-M_alt 'C m m m'
_space_group_IT_number 65
_space_group_name_Hall '-C 2 2'
loop_
_atom_site_label
_atom_site_fract_x
_atom_site_fract_y
_atom_site_fract_z
K1 0.0000 0.0000 0.0000
Sb1 0.0000 0.3427 0.5000
O1 0.0000 0.1780 0.5000
O2 0.0000 0.5000 0.5000
```

Properties
formation energy (no corrections)	-1.10	eV per atom

(2)
The following is a PBE calculation of a geometry-optimized SrIn2As structure, from Alexandria via LeMat-Bulk.

```
data_SrIn2As
_chemical_formula_sum 'Sr2 In4 As2'
_cell_length_a 6.1612
_cell_length_b 7.6801
_cell_length_c 5.0603
_cell_angle_alpha 90.00
_cell_angle_beta 90.00
_cell_angle_gamma 90.00
_space_group_name_H-M_alt 'C m m m'
_space_group_IT_number 65
_space_group_name_Hall '-C 2 2'
loop_
_atom_site_label
_atom_site_fract_x
_atom_site_fract_y
_atom_site_fract_z
Sr1 0.0000 0.0000 0.0000
In1 0.0000 0.3022 0.5000
As1 0.0000 0.5000 0.0000
```

Properties
DFT formation energy	-0.41	eV per atom

(3)
The following is a PBE calculation of a geometry-optimized SrAgI3 structure, from Alexandria via LeMat-Bulk.

```
data_SrAgI3
_chemical_formula_sum 'Sr1 Ag1 I3'
_cell_length_a 5.8127
_cell_length_b 5.8127
_cell_length_c 5.8127
_cell_angle_alpha 90.00
_cell_angle_beta 90.00
_cell_angle_gamma 90.00
_space_group_name_H-M_alt 'P m -3 m'
_space_group_IT_number 221
_space_group_name_Hall '-P 4 2 3'
loop_
_atom_site_label
_atom_site_fract_x
_atom_site_fract_y
_atom_site_fract_z
Sr1 0.0000 0.0000 0.0000
Ag1 0.5000 0.5000 0.5000
I1 0.0000 0.5000 0.5000
```

Properties
formation energy (no corrections)	-0.76	eV per atom
E above lowest polymorph	342	meV per atom

(4)
The following is a PBE calculation of a geometry-optimized Rb2TiNbZn structure, from Alexandria via LeMat-Bulk.

```
data_Rb2TiNbZn
_chemical_formula_sum 'Rb2 Ti1 Nb1 Zn1'
_cell_length_a 6.2085
_cell_length_b 6.2085
_cell_length_c 5.3823
_cell_angle_alpha 90.00
_cell_angle_beta 90.00
_cell_angle_gamma 90.00
_space_group_name_H-M_alt 'P 4/m m m'
_space_group_IT_number 123
_space_group_name_Hall '-P 4 2'
loop_
_atom_site_label
_atom_site_fract_x
_atom_site_fract_y
_atom_site_fract_z
Rb1 0.0000 0.5000 0.0000
Ti1 0.0000 0.0000 0.5000
Nb1 0.5000 0.5000 0.5000
Zn1 0.5000 0.5000 0.0000
```

Properties
DFT formation energy	1.69	eV per atom

(5)
The following is a PBE calculation of a geometry-optimized Na5Sn12Pb2 structure, from Alexandria via LeMat-Bulk.

```
data_Na5Sn12Pb2
_chemical_formula_sum 'Na10 Sn24 Pb4'
_cell_length_a 28.2040
_cell_length_b 7.3615
_cell_length_c 5.3043
_cell_angle_alpha 90.00
_cell_angle_beta 91.31
_cell_angle_gamma 90.00
_space_group_name_H-M_alt 'C 1 2/m 1'
_space_group_IT_number 12
_space_group_name_Hall '-C 2y'
loop_
_atom_site_label
_atom_site_fract_x
_atom_site_fract_y
_atom_site_fract_z
Na1 0.0000 0.0000 0.0000
Na2 0.1159 0.5000 0.4922
Na3 0.2359 0.5000 0.9993
Sn1 0.0530 0.5000 0.9890
Sn2 0.0901 0.0000 0.4810
Sn3 0.1356 0.2076 0.9871
Sn4 0.1980 0.2024 0.4923
Pb1 0.0000 0.2781 0.5000
```

Properties
DFT formation energy	-0.07	eV per atom

(6)
The following is a PBE calculation of a geometry-optimized Li4P2O7 structure, from Alexandria via LeMat-Bulk.

```
data_Li4P2O7
_chemical_formula_sum 'Li8 P4 O14'
_cell_length_a 5.2553
_cell_length_b 7.2166
_cell_length_c 8.6564
_cell_angle_alpha 77.41
_cell_angle_beta 89.97
_cell_angle_gamma 69.05
_space_group_name_H-M_alt 'P -1'
_space_group_IT_number 2
_space_group_name_Hall '-P 1'
loop_
_atom_site_label
_atom_site_fract_x
_atom_site_fract_y
_atom_site_fract_z
Li1 0.0272 0.3283 0.2918
Li2 0.0577 0.2387 0.9519
Li3 0.2555 0.8559 0.5108
Li4 0.3953 0.5892 0.2507
P1 0.2151 0.2206 0.6550
P2 0.4262 0.7875 0.8668
O1 0.0058 0.6061 0.2897
O2 0.1166 0.1522 0.5177
O3 0.2627 0.0372 0.8158
O4 0.2681 0.2526 0.1253
O5 0.3161 0.7308 0.0252
O6 0.3401 0.7019 0.7353
O7 0.4811 0.2566 0.6275
```

Properties
formation energy (no corrections)	-2.37	eV per atom
E above lowest polymorph	0	meV per atom

(7)
The following is a PBE calculation of a geometry-optimized Be2Cu2N structure, from Alexandria via LeMat-Bulk.

```
data_Be2Cu2N
_chemical_formula_sum 'Be4 Cu4 N2'
_cell_length_a 2.8201
_cell_length_b 2.8201
_cell_length_c 11.9920
_cell_angle_alpha 90.00
_cell_angle_beta 90.00
_cell_angle_gamma 90.00
_space_group_name_H-M_alt 'I 4/m m m'
_space_group_IT_number 139
_space_group_name_Hall '-I 4 2'
loop_
_atom_site_label
_atom_site_fract_x
_atom_site_fract_y
_atom_site_fract_z
Be1 0.0000 0.5000 0.2500
Cu1 0.0000 0.0000 0.1002
N1 0.0000 0.0000 0.5000
```

Properties
formation energy (no corrections)	0.69	eV per atom
E above lowest polymorph	595	meV per atom

(8)
The following is a PBE calculation of a geometry-optimized Tb2HfSc structure, from Alexandria via LeMat-Bulk.

```
data_Tb2HfSc
_chemical_formula_sum 'Tb6 Hf3 Sc3'
_cell_length_a 3.2744
_cell_length_b 3.2744
_cell_length_c 35.2201
_cell_angle_alpha 90.00
_cell_angle_beta 90.00
_cell_angle_gamma 120.00
_space_group_name_H-M_alt 'R -3 m'
_space_group_IT_number 166
_space_group_name_Hall '-R 3 2"'
loop_
_atom_site_label
_atom_site_fract_x
_atom_site_fract_y
_atom_site_fract_z
Tb1 0.0000 0.0000 0.0887
Hf1 0.0000 0.0000 0.0000
Sc1 0.0000 0.0000 0.5000
```

Properties
DFT formation energy	0.34	eV per atom
E above lowest polymorph	219	meV per atom